1.
Entry from the Alexandria database: a relaxed SrTiO crystal (PBE).

abc: 3.1821 6.4229 6.7847
angles: 72.65 76.51 75.88
Closest atoms and distances in Å follow each position.
Fractional positions:
Sr: 0.0140 0.6414 0.9780  3 O 2.54-2.62
Sr: 0.9017 0.2030 0.6483  4 O 2.51-2.72
Ti: 0.7262 0.7340 0.4640  2 O 2.00-2.01
Ti: 0.2260 0.0343 0.1690  1 O 1.87
O: 0.2402 0.5639 0.6057  2 Ti 2.00-2.01
O: 0.3879 0.9693 0.9073  1 Ti 1.87

Values from the calculation:
Raw formation energy (eV/atom): -1.387
Space-group type: P1, No. 1
Polymorph energy (0 for the lowest one) (meV per atom): 202

=====

2.
Entry from the Alexandria database: a relaxed Ac2TmC crystal (PBE).

abc: 4.0190 4.0190 10.7782
angles: 79.25 79.25 60.00
Closest atoms and distances in Å follow each position.
Fractional positions:
Ac: 0.0743 0.0743 0.7771  1 C 2.35
Ac: 0.9257 0.9257 0.2229  1 C 2.35
Tm: 0.5000 0.5000 0.5000  6 Ac 3.73, 6 Tm 4.02
C: 0.0000 0.0000 0.0000  2 Ac 2.35

Values from the calculation:
Space-group type: R-3m, No. 166
Energy of formation (kJ per mole of atoms): 105.93

=====

3.
Entry from the Alexandria database: a relaxed BaPm3Ru crystal (PBE).

abc: 5.6656 5.6656 5.6656
angles: 90.00 90.00 90.00
Closest atoms and distances in Å follow each position.
Fractional positions:
Ru: 0.0000 0.0000 0.0000  6 Pm 2.83
Ba: 0.5000 0.5000 0.5000  12 Pm 4.01
Pm: 0.0000 0.5000 0.0000  2 Ru 2.83
Pm: 0.0000 0.0000 0.5000  2 Ru 2.83
Pm: 0.5000 0.0000 0.0000  2 Ru 2.83

Values from the calculation:
Space-group type: Pm-3m, No. 221
Energy of formation (kJ per mole of atoms): -4.15

=====

- Number 2 is which compound?
  Ac2TmC

=====

- Which formula does entry 2 have?
  Ac2TmC

=====

- Which formula does entry 1 have?
  SrTiO